No. 1
Compound: Ga3Sn2
Source: Alexandria via LeMat-Bulk
Functional: PBE
Structure: optimized geometry

Summary:
* E above lowest polymorph: 19.6 meV/atom

abc: 7.1988 7.1988 16.3550
angles: 90.00 90.00 120.00
Space group R-3c (No. 167, hexagonal axes)
Inequivalent atoms, fractional coordinates:
Ga  0.0000  0.2345  0.2500 [18 per cell]
Sn  0.0000  0.0000  0.0974 [12 per cell]



No. 2
Compound: Ga5Sn2
Source: Alexandria via LeMat-Bulk
Functional: PBE
Structure: optimized geometry

abc: 11.791 3.932 8.497
angles: 90.00 127.80 90.00
Space group C2/m (No. 12)
Inequivalent atoms, fractional coordinates:
Ga  0.000  0.000  0.000 [2 per cell]
Ga  0.143  0.000  0.614 [4 per cell]
Ga  0.235  0.500  0.881 [4 per cell]
Sn  0.077  0.500  0.309 [4 per cell]



no.,energy of formation from the pure elements (eV per atom),DFT total energy (eV/cell)
1,0.09,-99.83
2,0.07,-45.25